## Cs2HoPb3F12 (PBE-GGA)

Data for a geometry-optimized Cs2HoPb3F12 structure.

## Properties
Raw formation energy in kJ per mole of atoms: -267
Space group: No. 166

Cell and atoms, written as POSCAR:
```
Cs2HoPb3F12
1.0
4.260 2.460 7.086
-4.260 2.460 7.086
0.000 -4.919 7.086
Cs Ho Pb F
2 1 3 12
direct
0.105 0.105 0.105 Cs
0.895 0.895 0.895 Cs
0.500 0.500 0.500 Ho
0.000 0.500 0.500 Pb
0.500 0.000 0.500 Pb
0.500 0.500 0.000 Pb
0.162 0.162 0.584 F
0.162 0.584 0.162 F
0.200 0.563 0.563 F
0.416 0.838 0.838 F
0.437 0.437 0.800 F
0.437 0.800 0.437 F
0.563 0.200 0.563 F
0.563 0.563 0.200 F
0.584 0.162 0.162 F
0.800 0.437 0.437 F
0.838 0.416 0.838 F
0.838 0.838 0.416 F
```